No. 1
Pm4CdAu3: optimized geometry, GGA-PBE.

a = 3.866 Å, b = 4.832 Å, c = 11.408 Å
α = 90.00°, β = 90.00°, γ = 90.00°
Fractional coordinates of all 8 atoms:
Pm  0.500  0.500  0.368
Pm  0.000  0.500  0.852
Pm  0.000  0.000  0.145
Pm  0.500  0.000  0.637
Cd  0.500  0.500  0.080
Au  0.000  0.500  0.585
Au  0.000  0.000  0.417
Au  0.500  0.000  0.915

Summary:
The calculation puts the total energy at -4.380 eV per atom. The space group is Pmm2 (25). The value obtained for the density of states at the Fermi level is 6.7 states/eV/cell. The calculation puts the calculated density at 10.0 g cm⁻³. Its energy of formation is -0.661 eV per atom. For the total moment, the calculation gives 0.000 μB/atom.


No. 2
Pm3Cd2Au3: optimized geometry, GGA-PBE.

a = 5.965 Å, b = 8.872 Å, c = 8.872 Å
α = 120.00°, β = 90.00°, γ = 90.00°
Fractional coordinates of all 16 atoms:
Pm  0.750  0.284  0.000
Pm  0.750  0.716  0.716
Pm  0.750  0.000  0.284
Pm  0.250  0.716  0.000
Pm  0.250  0.284  0.284
Pm  0.250  0.000  0.716
Cd  0.000  0.333  0.667
Cd  0.500  0.667  0.333
Cd  0.000  0.667  0.333
Cd  0.500  0.333  0.667
Au  0.750  0.624  0.000
Au  0.750  0.376  0.376
Au  0.750  0.000  0.624
Au  0.250  0.376  0.000
Au  0.250  0.624  0.624
Au  0.250  0.000  0.376

Summary:
The calculation puts the total energy at -3.875 eV per atom. The space group is P6_3/mcm (193). The value obtained for the density of states at the Fermi level is 10.0 states/eV/cell. The calculation puts the calculated density at 10.2 g cm⁻³. Its energy of formation is -0.636 eV per atom. For the total moment, the calculation gives 0.000 μB/atom.


No. 3
PmCd4Au: optimized geometry, GGA-PBE.

a = 5.829 Å, b = 5.829 Å, c = 5.829 Å
α = 60.00°, β = 60.00°, γ = 60.00°
Fractional coordinates of all 6 atoms:
Cd  0.625  0.625  0.124
Cd  0.625  0.124  0.625
Cd  0.625  0.625  0.625
Cd  0.124  0.625  0.625
Au  0.000  0.000  0.000
Pm  0.250  0.250  0.250

Summary:
As for the distance to the lowest polymorph of the same formula: 200 meV/atom. The calculation puts the total energy at -2.056 eV per atom. The space group is F-43m (216). The value obtained for the density of states at the Fermi level is 5.2 states/eV/cell. The calculation puts the calculated density at 9.4 g cm⁻³. Its energy of formation is -0.108 eV per atom. For the total moment, the calculation gives 0.000 μB/atom.


No. 4
Pm3Cd2Au6: optimized geometry, GGA-PBE.

a = 4.478 Å, b = 4.478 Å, c = 13.416 Å
α = 99.61°, β = 99.61°, γ = 90.00°
Fractional coordinates of all 11 atoms:
Pm  0.000  0.000  0.000
Pm  0.801  0.801  0.602
Pm  0.199  0.199  0.398
Cd  0.449  0.449  0.898
Cd  0.551  0.551  0.102
Au  0.113  0.613  0.226
Au  0.613  0.113  0.226
Au  0.887  0.387  0.774
Au  0.387  0.887  0.774
Au  0.686  0.686  0.372
Au  0.314  0.314  0.628

Summary:
The calculation puts the total energy at -3.749 eV per atom. The space group is I4/mmm (139). The value obtained for the density of states at the Fermi level is 7.0 states/eV/cell. The calculation puts the calculated density at 11.7 g cm⁻³. Its energy of formation is -0.499 eV per atom. For the total moment, the calculation gives 0.000 μB/atom.


No. 5
PmCd3Au3: optimized geometry, GGA-PBE.

a = 7.484 Å, b = 7.484 Å, c = 7.484 Å
α = 90.00°, β = 90.00°, γ = 90.00°
Fractional coordinates of all 14 atoms:
Cd  0.000  0.250  0.500
Cd  0.000  0.750  0.500
Cd  0.500  0.000  0.750
Cd  0.750  0.500  0.000
Cd  0.500  0.000  0.250
Cd  0.250  0.500  0.000
Au  0.250  0.000  0.500
Au  0.000  0.500  0.250
Au  0.500  0.750  0.000
Au  0.750  0.000  0.500
Au  0.000  0.500  0.750
Au  0.500  0.250  0.000
Pm  0.500  0.500  0.500
Pm  0.000  0.000  0.000

Summary:
As for the distance to the lowest polymorph of the same formula: 610 meV/atom. The calculation puts the total energy at -2.268 eV per atom. The space group is Pm-3n (223). The value obtained for the density of states at the Fermi level is 10.2 states/eV/cell. The calculation puts the calculated density at 8.5 g cm⁻³. Its energy of formation is 0.208 eV per atom. For the total moment, the calculation gives 0.000 μB/atom.


No. 6
Pm2Cd3Au6: optimized geometry, GGA-PBE.

a = 3.958 Å, b = 8.212 Å, c = 8.212 Å
α = 73.87°, β = 90.00°, γ = 90.00°
Fractional coordinates of all 11 atoms:
Pm  0.000  0.304  0.696
Pm  0.000  0.696  0.304
Cd  0.000  0.227  0.227
Cd  0.000  0.773  0.773
Cd  0.500  0.000  0.000
Au  0.500  0.388  0.388
Au  0.500  0.612  0.612
Au  0.500  0.958  0.352
Au  0.500  0.042  0.648
Au  0.500  0.352  0.958
Au  0.500  0.648  0.042

Summary:
The calculation puts the total energy at -3.343 eV per atom. The space group is Cmmm (65). The value obtained for the density of states at the Fermi level is 3.9 states/eV/cell. The calculation puts the calculated density at 11.7 g cm⁻³. Its energy of formation is -0.442 eV per atom. For the total moment, the calculation gives 0.000 μB/atom.


No. 7
Pm2Cd2Au: optimized geometry, GGA-PBE.

a = 4.082 Å, b = 6.009 Å, c = 11.786 Å
α = 92.56°, β = 80.03°, γ = 70.14°
Fractional coordinates of all 10 atoms:
Pm  0.665  0.347  0.323
Pm  0.935  0.251  0.879
Pm  0.335  0.653  0.677
Pm  0.065  0.749  0.121
Cd  0.117  0.226  0.541
Cd  0.647  0.807  0.899
Cd  0.883  0.774  0.459
Cd  0.353  0.193  0.101
Au  0.613  0.080  0.694
Au  0.387  0.920  0.306

Summary:
As for the distance to the lowest polymorph of the same formula: 0 meV/atom. The calculation puts the total energy at -3.363 eV per atom. The space group is C2/m (12). The value obtained for the density of states at the Fermi level is 8.9 states/eV/cell. The calculation puts the calculated density at 8.9 g cm⁻³. Its energy of formation is -0.442 eV per atom. For the total moment, the calculation gives 0.000 μB/atom.


No. 8
Pm4CdAu3: optimized geometry, GGA-PBE.

a = 3.722 Å, b = 5.257 Å, c = 10.550 Å
α = 90.00°, β = 90.00°, γ = 90.00°
Fractional coordinates of all 8 atoms:
Cd  0.500  0.500  0.000
Au  0.500  0.000  0.240
Au  0.500  0.500  0.500
Au  0.500  0.000  0.760
Pm  0.000  0.000  0.500
Pm  0.000  0.500  0.740
Pm  0.000  0.000  0.000
Pm  0.000  0.500  0.260

Summary:
The calculation puts the total energy at -4.381 eV per atom. The space group is Pmmm (47). The value obtained for the density of states at the Fermi level is 6.6 states/eV/cell. The calculation puts the calculated density at 10.3 g cm⁻³. Its energy of formation is -0.662 eV per atom. For the total moment, the calculation gives 0.000 μB/atom.


No. 9
Pm2Cd3Au2: optimized geometry, GGA-PBE.

a = 4.685 Å, b = 5.595 Å, c = 7.460 Å
α = 106.99°, β = 90.00°, γ = 114.75°
Fractional coordinates of all 7 atoms:
Pm  0.863  0.726  0.219
Pm  0.137  0.274  0.781
Cd  0.500  0.000  0.000
Cd  0.620  0.239  0.433
Cd  0.380  0.761  0.567
Au  0.834  0.668  0.795
Au  0.166  0.332  0.205

Summary:
As for the distance to the lowest polymorph of the same formula: 0 meV/atom. The calculation puts the total energy at -3.232 eV per atom. The space group is C2/m (12). The value obtained for the density of states at the Fermi level is 4.5 states/eV/cell. The calculation puts the calculated density at 10.1 g cm⁻³. Its energy of formation is -0.546 eV per atom. For the total moment, the calculation gives 0.000 μB/atom.


No. 10
PmCd3Au8: optimized geometry, GGA-PBE.

a = 5.608 Å, b = 5.608 Å, c = 9.666 Å
α = 73.14°, β = 73.14°, γ = 60.00°
Fractional coordinates of all 12 atoms:
Pm  0.876  0.876  0.372
Cd  0.373  0.373  0.882
Cd  0.005  0.005  0.984
Cd  0.492  0.492  0.524
Au  0.937  0.439  0.186
Au  0.438  0.938  0.686
Au  0.439  0.439  0.186
Au  0.938  0.938  0.686
Au  0.188  0.188  0.436
Au  0.688  0.688  0.936
Au  0.439  0.937  0.186
Au  0.938  0.438  0.686

Summary:
The calculation puts the total energy at -3.075 eV per atom. The space group is R3m (160). The value obtained for the density of states at the Fermi level is 5.2 states/eV/cell. The calculation puts the calculated density at 13.8 g cm⁻³. Its energy of formation is -0.265 eV per atom. For the total moment, the calculation gives 0.000 μB/atom.


No. 11
PmCd3Au2: optimized geometry, GGA-PBE.

a = 4.364 Å, b = 7.890 Å, c = 8.875 Å
α = 110.33°, β = 104.23°, γ = 90.00°
Fractional coordinates of all 12 atoms:
Pm  0.114  0.154  0.229
Pm  0.886  0.846  0.771
Cd  0.688  0.898  0.377
Cd  0.067  0.670  0.134
Cd  0.354  0.511  0.709
Cd  0.646  0.489  0.291
Cd  0.933  0.330  0.866
Cd  0.312  0.102  0.623
Au  0.511  0.828  0.022
Au  0.489  0.172  0.978
Au  0.244  0.713  0.488
Au  0.756  0.287  0.512

Summary:
As for the distance to the lowest polymorph of the same formula: 0 meV/atom. The calculation puts the total energy at -2.744 eV per atom. The space group is C2/m (12). The value obtained for the density of states at the Fermi level is 6.0 states/eV/cell. The calculation puts the calculated density at 10.5 g cm⁻³. Its energy of formation is -0.403 eV per atom. For the total moment, the calculation gives 0.000 μB/atom.


No. 12
PmCd3Au3: optimized geometry, GGA-PBE.

a = 4.798 Å, b = 8.558 Å, c = 8.585 Å
α = 119.91°, β = 90.00°, γ = 90.00°
Fractional coordinates of all 14 atoms:
Pm  0.750  0.334  0.667
Pm  0.250  0.666  0.333
Cd  0.750  0.778  0.009
Cd  0.750  0.230  0.223
Cd  0.750  0.992  0.770
Cd  0.250  0.222  0.991
Cd  0.250  0.770  0.777
Cd  0.250  0.008  0.230
Au  0.750  0.925  0.388
Au  0.750  0.462  0.075
Au  0.750  0.612  0.536
Au  0.250  0.075  0.612
Au  0.250  0.538  0.925
Au  0.250  0.388  0.464

Summary:
As for the distance to the lowest polymorph of the same formula: 0 meV/atom. The calculation puts the total energy at -2.878 eV per atom. The space group is P2_1/m (11). The value obtained for the density of states at the Fermi level is 4.7 states/eV/cell. The calculation puts the calculated density at 11.7 g cm⁻³. Its energy of formation is -0.403 eV per atom. For the total moment, the calculation gives 0.000 μB/atom.